(1)
VASP calculation (GGA-PBE) on crystalline Sr3TiPt at its relaxed geometry.

Unit cell a=5.863 b=5.863 c=5.863 alpha=90.00 beta=90.00 gamma=90.00
Sites, in units of the cell vectors:
Sr1 0.000 0.000 0.500
Sr2 0.000 0.500 0.000
Sr3 0.500 0.000 0.000
Ti1 0.500 0.500 0.500
Pt1 0.000 0.000 0.000

Symmetry: Pm-3m
Size of the total moment in μB/atom: 0.650
N(E_F) in states/eV per cell: 10.24
Calculated formation energy in eV per formula unit: 0.61


(2)
VASP calculation (GGA-PBE) on crystalline TiNiH3 at its relaxed geometry.

Unit cell a=5.256 b=5.256 c=2.774 alpha=90.00 beta=90.00 gamma=113.97
Sites, in units of the cell vectors:
Ti1 0.000 0.000 0.000
Ti2 0.500 0.500 0.500
Ni1 0.000 0.500 0.000
Ni2 0.500 0.000 0.000
H1 0.072 0.314 0.500
H2 0.314 0.072 0.500
H3 0.342 0.658 0.000
H4 0.658 0.342 0.000
H5 0.686 0.928 0.500
H6 0.928 0.686 0.500

Symmetry: Cmmm
Size of the total moment in μB/atom: 0.000
Energy in eV/atom: -4.97
N(E_F) in states/eV per cell: 6.15


(3)
VASP calculation (GGA-PBE) on crystalline La6In2O at its relaxed geometry.

Unit cell a=7.262 b=7.262 c=7.262 alpha=60.00 beta=60.00 gamma=60.00
Sites, in units of the cell vectors:
La1 0.246 0.246 0.754
La2 0.246 0.754 0.246
La3 0.246 0.754 0.754
La4 0.754 0.246 0.246
La5 0.754 0.246 0.754
La6 0.754 0.754 0.246
In1 0.250 0.250 0.250
In2 0.750 0.750 0.750
O1 0.000 0.000 0.000

Symmetry: Fm-3m
Size of the total moment in μB/atom: 0.000
Energy in eV/atom: -5.29
N(E_F) in states/eV per cell: 7.72


(4)
VASP calculation (GGA-PBE) on crystalline Tb6Dy3Y2 at its relaxed geometry.

Unit cell a=17.029 b=17.029 c=17.029 alpha=164.08 beta=164.08 gamma=22.59
Sites, in units of the cell vectors:
Tb1 0.122 0.622 0.500
Tb2 0.198 0.198 0.000
Tb3 0.378 0.878 0.500
Tb4 0.622 0.122 0.500
Tb5 0.802 0.802 0.000
Tb6 0.878 0.378 0.500
Dy1 0.300 0.300 0.000
Dy2 0.500 0.500 0.000
Dy3 0.700 0.700 0.000
Y1 0.046 0.046 0.000
Y2 0.954 0.954 0.000

Symmetry: I4/mmm
Size of the total moment in μB/atom: 0.000
N(E_F) in states/eV per cell: 16.85
Calculated formation energy in eV per formula unit: 3.17